The following is a PBE calculation of a relaxed structure of Pm2MgZn2Cu5, from Alexandria. Values from VASP.

Quantum ESPRESSO input file:
```
&SYSTEM
  ibrav = 0, nat = 20, ntyp = 4
/
ATOMIC_SPECIES
Pm 145.00 Pm.upf
Mg 24.30 Mg.upf
Zn 65.41 Zn.upf
Cu 63.55 Cu.upf
CELL_PARAMETERS angstrom
9.8510 0.0000 0.0000
0.0000 9.8510 0.0000
0.0000 0.0000 3.6787
ATOMIC_POSITIONS crystal
Pm 0.1805 0.3195 0.0000
Pm 0.3195 0.8195 0.0000
Pm 0.6805 0.1805 0.0000
Pm 0.8195 0.6805 0.0000
Mg 0.0000 0.0000 0.0000
Mg 0.5000 0.5000 0.0000
Zn 0.1170 0.6170 0.0000
Zn 0.3830 0.1170 0.0000
Zn 0.6170 0.8830 0.0000
Zn 0.8830 0.3830 0.0000
Cu 0.0000 0.5000 0.5000
Cu 0.0510 0.7917 0.5000
Cu 0.2083 0.0510 0.5000
Cu 0.2917 0.5510 0.5000
Cu 0.4490 0.2917 0.5000
Cu 0.5000 0.0000 0.5000
Cu 0.5510 0.7083 0.5000
Cu 0.7083 0.4490 0.5000
Cu 0.7917 0.9490 0.5000
Cu 0.9490 0.2083 0.5000
```

Properties
- raw total energy (eV per atom) = -3.52
- formation energy (meV/atom) = -104